1.
YThOsSe after structural relaxation, computed with PBE-GGA.

abc: 4.0953 4.0953 21.4835
angles: 90.00 90.00 120.00
Space group R3m (No. 160, hexagonal axes)
Symmetry-distinct sites (fractional):
Y (0.0000, 0.0000, 0.0000)
Th (0.0000, 0.0000, 0.1894)
Os (0.0000, 0.0000, 0.5915)
Se (0.0000, 0.0000, 0.7562)

Uncorrected energy = -8.011 eV/atom
Formation energy without anion corrections = -0.86 eV per atom

2.
Tm2ScAlO after structural relaxation, computed with PBE-GGA.

abc: 4.6483 4.6483 4.4045
angles: 90.00 90.00 90.00
Space group P4/mmm (No. 123)
Symmetry-distinct sites (fractional):
Tm (0.0000, 0.5000, 0.0000)
Sc (0.0000, 0.0000, 0.5000)
Al (0.5000, 0.5000, 0.5000)
O (0.0000, 0.0000, 0.0000)

Uncorrected energy = -6.182 eV/atom
Formation energy without anion corrections = -1.39 eV per atom

3.
Tl2CrAu after structural relaxation, computed with PBE-GGA.

abc: 4.6150 4.6150 4.1705
angles: 90.00 90.00 90.00
Space group P4/mmm (No. 123)
Symmetry-distinct sites (fractional):
Tl (0.0000, 0.5000, 0.0000)
Cr (0.0000, 0.0000, 0.5000)
Au (0.5000, 0.5000, 0.5000)

Distance to the lowest polymorph of the same formula = 129 meV/atom
Uncorrected energy = -4.031 eV/atom
DFT formation energy = 377 meV/atom

4.
InN3Cl after structural relaxation, computed with PBE-GGA.

abc: 3.8269 3.8269 3.8269
angles: 90.00 90.00 90.00
Space group Pm-3m (No. 221)
Symmetry-distinct sites (fractional):
In (0.0000, 0.0000, 0.0000)
N (0.0000, 0.5000, 0.5000)
Cl (0.5000, 0.5000, 0.5000)

Uncorrected energy = -3.529 eV/atom
Formation energy without anion corrections = 2.38 eV per atom

5.
Tb2NiAs3Rh4 after structural relaxation, computed with PBE-GGA.

abc: 4.1449 4.1449 10.1863
angles: 90.00 90.00 90.00
Space group P-4m2 (No. 115)
Symmetry-distinct sites (fractional):
Tb (0.0000, 0.5000, 0.2372)
Ni (0.5000, 0.5000, 0.0000)
As (0.0000, 0.0000, 0.0000)
As (0.0000, 0.5000, 0.6385)
Rh (0.0000, 0.0000, 0.5000)
Rh (0.0000, 0.5000, 0.8703)
Rh (0.5000, 0.5000, 0.5000)

Uncorrected energy = -6.664 eV/atom
DFT formation energy = -824 meV/atom

6.
BaHg2Ru after structural relaxation, computed with PBE-GGA.

abc: 4.6143 4.5987 4.7238
angles: 90.00 90.33 90.00
Space group P2/m (No. 10)
Symmetry-distinct sites (fractional):
Ba (0.0000, 0.0000, 0.0000)
Hg (0.0000, 0.5000, 0.5000)
Hg (0.5000, 0.0000, 0.5000)
Ru (0.5000, 0.5000, 0.0000)

Uncorrected energy = -2.523 eV/atom
DFT formation energy = 428 meV/atom